# 1
Ta2Ti2W5: optimized geometry, PBE.

Results
Total magnetic moment ... 0.00 μB per cell
SG ... C2 (5)
DFT total energy ... -11.08 eV/atom

a b c (Å): 6.984 7.782 9.311
angles (deg): 132.30 112.03 90.00
Positions (direct):
W 0.597 0.651 0.658
W 0.293 0.466 0.272
W 0.751 0.847 0.065
W 0.933 0.060 0.480
W 0.161 0.762 0.135
W 0.939 0.349 0.342
W 0.026 0.238 0.865
W 0.453 0.940 0.520
W 0.685 0.153 0.935
W 0.020 0.534 0.728
Ta 0.763 0.701 0.475
Ta 0.449 0.500 0.000
Ta 0.053 0.000 0.000
Ta 0.288 0.299 0.525
Ti 0.249 0.889 0.725
Ti 0.708 0.385 0.770
Ti 0.937 0.615 0.230
Ti 0.523 0.111 0.275

---

# 2
PrMg2ScAu4: optimized geometry, PBE.

Results
Total magnetic moment ... 0.00 μB per cell
SG ... R-3m (166)
DFT total energy ... -4.16 eV/atom

a b c (Å): 4.790 4.790 8.844
angles (deg): 74.29 74.29 60.00
Positions (direct):
Au 0.610 0.610 0.169
Au 0.129 0.129 0.613
Au 0.390 0.390 0.831
Au 0.871 0.871 0.387
Pr 0.000 0.000 0.000
Mg 0.244 0.244 0.269
Mg 0.756 0.756 0.731
Sc 0.500 0.500 0.500

---

# 3
TbNdSm6Y2: optimized geometry, PBE.

Results
Total magnetic moment ... 0.00 μB per cell
SG ... C2/c (15)
DFT total energy ... -4.94 eV/atom

a b c (Å): 9.642 8.926 8.926
angles (deg): 117.23 93.65 93.65
Positions (direct):
Sm 0.119 0.706 0.487
Sm 0.557 0.758 0.114
Sm 0.816 0.434 0.983
Sm 0.684 0.017 0.566
Sm 0.619 0.487 0.706
Sm 0.057 0.114 0.758
Sm 0.881 0.294 0.513
Sm 0.443 0.242 0.886
Sm 0.381 0.513 0.294
Sm 0.943 0.886 0.242
Sm 0.316 0.983 0.434
Sm 0.184 0.566 0.017
Y 0.047 0.295 0.197
Y 0.953 0.705 0.803
Y 0.547 0.197 0.295
Y 0.453 0.803 0.705
Nd 0.750 0.593 0.407
Nd 0.250 0.407 0.593
Tb 0.250 0.969 0.031
Tb 0.750 0.031 0.969

---

> Look up the DFT total energy of the first one.

-11.08 eV/atom